Compound: GeAsI2
Source: Alexandria
Functional: GGA-PBE
Structure: relaxed

Cell and atoms, written as POSCAR:
```
GeAsI2
1.0
0.000 3.771 3.771
3.771 0.000 3.771
3.771 3.771 0.000
Ge As I
1 1 2
Direct
0.000 0.000 0.000
0.500 0.500 0.500
0.250 0.250 0.250
0.750 0.750 0.750
```

Calculated values
E = -2.526 eV per atom
Volume = 107 Å³ per cell
ΔE to the lowest computed polymorph = 79.2 meV/atom
Formation energy without anion corrections = 0.57 eV per atom
Magnetization = 0.00 μB per formula unit